a.
Computed, not measured: crystalline ZnCu2P at its relaxed geometry at the PBE level of DFT.

Structure (CIF):
```
data_ZnCu2P
_chemical_formula_sum 'Zn1 Cu2 P1'
_space_group_name_H-M_alt 'P 4/m m m'
_space_group_IT_number 123
_space_group_name_Hall '-P 4 2'
_cell_length_a 3.749
_cell_length_b 3.749
_cell_length_c 3.706
_cell_angle_alpha 90.00
_cell_angle_beta 90.00
_cell_angle_gamma 90.00
loop_
_atom_site_label
_atom_site_fract_x
_atom_site_fract_y
_atom_site_fract_z
Zn1 0.000 0.000 0.000
Cu1 0.000 0.500 0.500
P1 0.500 0.500 0.000
```

=====

b.
Computed, not measured: crystalline ZnCu2P at its relaxed geometry at the PBE level of DFT.

Structure (CIF):
```
data_ZnCu2P
_chemical_formula_sum 'Zn4 Cu8 P4'
_space_group_name_H-M_alt 'F -4 3 m'
_space_group_IT_number 216
_space_group_name_Hall 'F -4 2 3'
_cell_length_a 6.014
_cell_length_b 6.014
_cell_length_c 6.014
_cell_angle_alpha 90.00
_cell_angle_beta 90.00
_cell_angle_gamma 90.00
loop_
_atom_site_label
_atom_site_fract_x
_atom_site_fract_y
_atom_site_fract_z
Zn1 0.000 0.000 0.000
Cu1 0.000 0.000 0.500
Cu2 0.250 0.250 0.250
P1 0.250 0.250 0.750
```

=====

Which structure wins on stability? a wins.

=====

a.
Computed, not measured: crystalline ZnCu2P at its relaxed geometry at the PBE level of DFT.

Structure (CIF):
```
data_ZnCu2P
_chemical_formula_sum 'Zn1 Cu2 P1'
_space_group_name_H-M_alt 'P 4/m m m'
_space_group_IT_number 123
_space_group_name_Hall '-P 4 2'
_cell_length_a 3.225
_cell_length_b 3.225
_cell_length_c 5.087
_cell_angle_alpha 90.00
_cell_angle_beta 90.00
_cell_angle_gamma 90.00
loop_
_atom_site_label
_atom_site_fract_x
_atom_site_fract_y
_atom_site_fract_z
Zn1 0.000 0.000 0.000
Cu1 0.500 0.500 0.255
P1 0.000 0.000 0.500
```

=====

b.
Computed, not measured: crystalline ZnCu2P at its relaxed geometry at the PBE level of DFT.

Structure (CIF):
```
data_ZnCu2P
_chemical_formula_sum 'Zn3 Cu6 P3'
_space_group_name_H-M_alt 'R 3 m'
_space_group_IT_number 160
_space_group_name_Hall 'R 3 -2"'
_cell_length_a 2.8268
_cell_length_b 2.8268
_cell_length_c 23.5364
_cell_angle_alpha 90.00
_cell_angle_beta 90.00
_cell_angle_gamma 120.00
loop_
_atom_site_label
_atom_site_fract_x
_atom_site_fract_y
_atom_site_fract_z
Zn1 0.0000 0.0000 0.0000
Cu1 0.0000 0.0000 0.5012
Cu2 0.0000 0.0000 0.7508
P1 0.0000 0.0000 0.2437
```

=====

c.
Computed, not measured: crystalline ZnCu2P at its relaxed geometry at the PBE level of DFT.

Structure (CIF):
```
data_ZnCu2P
_chemical_formula_sum 'Zn4 Cu8 P4'
_space_group_name_H-M_alt 'F m -3 m'
_space_group_IT_number 225
_space_group_name_Hall '-F 4 2 3'
_cell_length_a 5.999
_cell_length_b 5.999
_cell_length_c 5.999
_cell_angle_alpha 90.00
_cell_angle_beta 90.00
_cell_angle_gamma 90.00
loop_
_atom_site_label
_atom_site_fract_x
_atom_site_fract_y
_atom_site_fract_z
Zn1 0.000 0.000 0.000
Cu1 0.250 0.250 0.250
P1 0.000 0.000 0.500
```

=====

Which structure wins on stability? a wins.

=====

a.
Computed, not measured: crystalline ZnCu2P at its relaxed geometry at the PBE level of DFT.

Structure (CIF):
```
data_ZnCu2P
_chemical_formula_sum 'Zn2 Cu4 P2'
_space_group_name_H-M_alt 'C 1 m 1'
_space_group_IT_number 8
_space_group_name_Hall 'C -2y'
_cell_length_a 8.753
_cell_length_b 2.768
_cell_length_c 4.429
_cell_angle_alpha 90.00
_cell_angle_beta 97.60
_cell_angle_gamma 90.00
loop_
_atom_site_label
_atom_site_fract_x
_atom_site_fract_y
_atom_site_fract_z
Zn1 0.000 0.000 0.000
Cu1 0.250 0.500 0.237
Cu2 0.493 0.000 0.489
P1 0.234 0.000 0.702
```

=====

b.
Computed, not measured: crystalline ZnCu2P at its relaxed geometry at the PBE level of DFT.

Structure (CIF):
```
data_ZnCu2P
_chemical_formula_sum 'Zn1 Cu2 P1'
_space_group_name_H-M_alt 'P m m 2'
_space_group_IT_number 25
_space_group_name_Hall 'P 2 -2'
_cell_length_a 3.162
_cell_length_b 3.385
_cell_length_c 4.959
_cell_angle_alpha 90.00
_cell_angle_beta 90.00
_cell_angle_gamma 90.00
loop_
_atom_site_label
_atom_site_fract_x
_atom_site_fract_y
_atom_site_fract_z
Zn1 0.000 0.000 0.000
Cu1 0.000 0.000 0.502
Cu2 0.500 0.500 0.238
P1 0.500 0.500 0.718
```

=====

Which structure wins on stability? b wins.

=====

a.
Computed, not measured: crystalline ZnCu2P at its relaxed geometry at the PBE level of DFT.

Structure (CIF):
```
data_ZnCu2P
_chemical_formula_sum 'Zn2 Cu4 P2'
_space_group_name_H-M_alt 'C m m m'
_space_group_IT_number 65
_space_group_name_Hall '-C 2 2'
_cell_length_a 3.643
_cell_length_b 3.753
_cell_length_c 7.731
_cell_angle_alpha 90.00
_cell_angle_beta 90.00
_cell_angle_gamma 90.00
loop_
_atom_site_label
_atom_site_fract_x
_atom_site_fract_y
_atom_site_fract_z
Zn1 0.000 0.000 0.000
Cu1 0.000 0.500 0.246
P1 0.000 0.000 0.500
```

=====

b.
Computed, not measured: crystalline ZnCu2P at its relaxed geometry at the PBE level of DFT.

Structure (CIF):
```
data_ZnCu2P
_chemical_formula_sum 'Zn4 Cu8 P4'
_space_group_name_H-M_alt 'F 2 2 2'
_space_group_IT_number 22
_space_group_name_Hall 'F 2 2'
_cell_length_a 5.154
_cell_length_b 5.238
_cell_length_c 7.751
_cell_angle_alpha 90.00
_cell_angle_beta 90.00
_cell_angle_gamma 90.00
loop_
_atom_site_label
_atom_site_fract_x
_atom_site_fract_y
_atom_site_fract_z
Zn1 0.000 0.000 0.000
Cu1 0.000 0.000 0.500
Cu2 0.250 0.250 0.250
P1 0.250 0.250 0.750
```

=====

c.
Computed, not measured: crystalline ZnCu2P at its relaxed geometry at the PBE level of DFT.

Structure (CIF):
```
data_ZnCu2P
_chemical_formula_sum 'Zn2 Cu4 P2'
_space_group_name_H-M_alt 'C 1 2/m 1'
_space_group_IT_number 12
_space_group_name_Hall '-C 2y'
_cell_length_a 5.227
_cell_length_b 8.420
_cell_length_c 2.807
_cell_angle_alpha 90.00
_cell_angle_beta 117.33
_cell_angle_gamma 90.00
loop_
_atom_site_label
_atom_site_fract_x
_atom_site_fract_y
_atom_site_fract_z
Zn1 0.000 0.000 0.000
Cu1 0.250 0.250 0.000
P1 0.000 0.500 0.000
```

=====

Which structure wins on stability? b wins.